VASP calculation (GGA-PBE) on an optimized crystal structure of KAgICl6.

Output
- uncorrected formation energy (kJ per mole of atoms) = -59
- density of states at the Fermi level (states/eV/atom) = 0.051

Lattice parameters (Å, degrees): 6.4505 7.2848 7.2956 100.75 98.93 98.95
Last column: nearest neighbours and their distance in Å.
Fractional coordinates of all 9 atoms:
K  0.0000  0.0000  0.0000  6 Cl 3.09-3.38
Ag  0.5001  0.3064  0.6937  4 Cl 2.40-2.56
I  0.5001  0.6532  0.3469  4 Cl 2.46-2.64
Cl  0.2697  0.6465  0.0433  1 I 2.46
Cl  0.2707  0.3338  0.3848  1 Ag 2.56, 1 I 2.64
Cl  0.2753  0.0098  0.6890  1 Ag 2.40
Cl  0.7253  0.3118  0.9899  1 Ag 2.40
Cl  0.7295  0.6155  0.6658  1 Ag 2.56, 1 I 2.64
Cl  0.7308  0.9572  0.3534  1 I 2.46